(1)
A plane-wave DFT calculation with PBE was carried out for a geometry-optimized As2Se2S structure.

Calculated values
calculated total energy: -4.19 eV/atom
symmetry: C2/m (12)

Cell lengths 3.7312, 6.7871, 11.5437 Å; angles 112.18, 99.30, 90.00 degrees
With the nearest neighbours (Å) after each atom.
Positions (direct):
1 As 0.1789 0.9644 0.3578  1 S 2.37
2 As 0.8211 0.0356 0.6422  1 S 2.37
3 As 0.3435 0.5358 0.6871  3 Se 2.47-2.53
4 As 0.6565 0.4642 0.3129  3 Se 2.47-2.53
5 Se 0.0931 0.2252 0.1862  2 As 2.53
6 Se 0.9069 0.7748 0.8138  2 As 2.53
7 Se 0.3989 0.2855 0.7979  3 As 2.47-2.68
8 Se 0.6011 0.7145 0.2021  3 As 2.47-2.68
9 S 0.2469 0.7744 0.4938  1 As 2.37
10 S 0.7531 0.2256 0.5062  1 As 2.37

***

(2)
A plane-wave DFT calculation with PBE was carried out for a geometry-optimized AsSeS2 structure.

Calculated values
calculated total energy: -3.70 eV/atom
symmetry: I-42d (122)
relative energy among the computed polymorphs: 0.189 eV/atom

Cell lengths 6.7758, 6.7758, 6.1451 Å; angles 56.54, 56.54, 90.00 degrees
With the nearest neighbours (Å) after each atom.
Positions (direct):
1 As 0.5000 0.5000 0.0000  4 S 2.51
2 As 0.2500 0.7500 0.5000  4 S 2.51
3 S 0.6093 0.1250 0.2500  2 As 2.51, 2 Se 2.65
4 S 0.1407 0.6250 0.2500  2 As 2.51, 2 Se 2.65
5 S 0.3750 0.3907 0.7500  2 As 2.51, 2 Se 2.65
6 S 0.8750 0.8593 0.7500  2 As 2.51, 2 Se 2.65
7 Se 0.0000 0.0000 0.0000  4 S 2.65
8 Se 0.7500 0.2500 0.5000  4 S 2.65

***

(3)
A plane-wave DFT calculation with PBE was carried out for a geometry-optimized As2SeS2 structure.

Calculated values
calculated total energy: -4.24 eV/atom
symmetry: I4_1md (109)

Cell lengths 6.4669, 6.4669, 9.6950 Å; angles 109.48, 109.48, 90.00 degrees
With the nearest neighbours (Å) after each atom.
Positions (direct):
1 As 0.4195 0.6637 0.8390  2 S 2.30, 1 Se 2.47
2 As 0.4254 0.1695 0.3390  2 S 2.30, 1 Se 2.47
3 As 0.9137 0.1695 0.3390  2 S 2.30, 1 Se 2.47
4 As 0.4195 0.1754 0.8390  2 S 2.30, 1 Se 2.47
5 Se 0.0619 0.0619 0.1237  2 As 2.47
6 Se 0.3119 0.8119 0.6237  2 As 2.47
7 S 0.6399 0.8939 0.2798  2 As 2.30
8 S 0.6358 0.3899 0.7798  2 As 2.30
9 S 0.1439 0.3899 0.7798  2 As 2.30
10 S 0.6399 0.3858 0.2798  2 As 2.30

***

(4)
A plane-wave DFT calculation with PBE was carried out for a geometry-optimized AsSeS2 structure.

Calculated values
calculated total energy: -3.89 eV/atom
symmetry: R-3m (166)
relative energy among the computed polymorphs: 0.000 eV/atom

Cell lengths 8.1251, 8.1251, 8.1251 Å; angles 25.77, 25.77, 25.77 degrees
With the nearest neighbours (Å) after each atom.
Positions (direct):
1 As 0.5000 0.5000 0.5000  6 S 2.58
2 S 0.8976 0.8976 0.8976  1 Se 2.41, 3 As 2.58
3 S 0.1024 0.1024 0.1024  1 Se 2.41, 3 As 2.58
4 Se 0.0000 0.0000 0.0000  2 S 2.41

***

(5)
A plane-wave DFT calculation with PBE was carried out for a geometry-optimized As2SeS2 structure.

Calculated values
calculated total energy: -4.33 eV/atom
symmetry: P2_1/c (14)

Cell lengths 9.7245, 5.3221, 11.8590 Å; angles 75.67, 90.00, 90.00 degrees
With the nearest neighbours (Å) after each atom.
Positions (direct):
1 As 0.3647 0.4629 0.2749  2 S 2.27-2.32, 1 Se 2.48
2 As 0.1353 0.4629 0.7749  2 S 2.27-2.32, 1 Se 2.48
3 As 0.6353 0.5371 0.7251  2 S 2.27-2.32, 1 Se 2.48
4 As 0.8647 0.5371 0.2251  2 S 2.27-2.32, 1 Se 2.48
5 As 0.1632 0.7408 0.0232  2 S 2.28-2.32, 1 Se 2.47
6 As 0.3368 0.7408 0.5232  2 S 2.28-2.32, 1 Se 2.47
7 As 0.8368 0.2592 0.9768  2 S 2.28-2.32, 1 Se 2.47
8 As 0.6632 0.2592 0.4768  2 S 2.28-2.32, 1 Se 2.47
9 Se 0.0753 0.3486 0.1613  2 As 2.47-2.48
10 Se 0.4247 0.3486 0.6613  2 As 2.47-2.48
11 Se 0.9247 0.6514 0.8387  2 As 2.47-2.48
12 Se 0.5753 0.6514 0.3387  2 As 2.47-2.48
13 S 0.2107 0.5258 0.4151  2 As 2.28-2.32
14 S 0.2893 0.5258 0.9151  2 As 2.28-2.32
15 S 0.7893 0.4742 0.5849  2 As 2.28-2.32
16 S 0.7107 0.4742 0.0849  2 As 2.28-2.32
17 S 0.3469 0.8327 0.1307  2 As 2.27-2.32
18 S 0.1531 0.8327 0.6307  2 As 2.27-2.32
19 S 0.6531 0.1673 0.8693  2 As 2.27-2.32
20 S 0.8469 0.1673 0.3693  2 As 2.27-2.32

***

(6)
A plane-wave DFT calculation with PBE was carried out for a geometry-optimized SiAsSe2S structure.

Calculated values
calculated total energy: -3.44 eV/atom
symmetry: P4/mmm (123)
relative energy among the computed polymorphs: 0.055 eV/atom

Cell lengths 4.8218, 4.8218, 4.8426 Å; angles 90.00, 90.00, 90.00 degrees
With the nearest neighbours (Å) after each atom.
Positions (direct):
1 As 0.0000 0.0000 0.5000  2 S 2.42
2 Si 0.5000 0.5000 0.5000  4 As 3.41, 8 Se 3.42
3 S 0.0000 0.0000 0.0000  4 Se 2.41, 2 As 2.42
4 Se 0.0000 0.5000 0.0000  2 S 2.41
5 Se 0.5000 0.0000 0.0000  2 S 2.41

***

(7)
A plane-wave DFT calculation with PBE was carried out for a geometry-optimized SiAs2SeS structure.

Calculated values
calculated total energy: -3.67 eV/atom
symmetry: P4/mmm (123)
relative energy among the computed polymorphs: 0.000 eV/atom

Cell lengths 4.8532, 4.8532, 4.6217 Å; angles 90.00, 90.00, 90.00 degrees
With the nearest neighbours (Å) after each atom.
Positions (direct):
1 As 0.0000 0.5000 0.0000  2 Si 2.43
2 As 0.5000 0.0000 0.0000  2 Si 2.43
3 Si 0.0000 0.0000 0.0000  2 Se 2.31, 4 As 2.43
4 S 0.5000 0.5000 0.5000  8 As 3.35, 4 Se 3.43
5 Se 0.0000 0.0000 0.5000  2 Si 2.31

***

(8)
A plane-wave DFT calculation with PBE was carried out for a geometry-optimized SiAsSe2S structure.

Calculated values
calculated total energy: -3.49 eV/atom
symmetry: P4/mmm (123)
relative energy among the computed polymorphs: 0.000 eV/atom

Cell lengths 4.6860, 4.6860, 5.0108 Å; angles 90.00, 90.00, 90.00 degrees
With the nearest neighbours (Å) after each atom.
Positions (direct):
1 As 0.0000 0.0000 0.5000  2 Si 2.51
2 Si 0.0000 0.0000 0.0000  4 Se 2.34, 2 As 2.51
3 S 0.5000 0.5000 0.5000  4 As 3.31, 8 Se 3.43
4 Se 0.0000 0.5000 0.0000  2 Si 2.34
5 Se 0.5000 0.0000 0.0000  2 Si 2.34